*a*
Below is an optimized crystal structure of HoEr2Pd2, with properties calculated at the PBE-GGA level.

Calculated values
Magnetic moment ... 0.00 μB/f.u.
Symmetry ... P4/mbm (127)
Crystal system ... tetragonal

Cell lengths 7.7337, 7.7337, 3.9364 Å; angles 90.00, 90.00, 90.00 degrees
Closest atoms and distances in Å follow each position.
Fractional coordinates of all 10 atoms:
Ho 0.0000 0.0000 0.0000  4 Pd 3.02
Ho 0.5000 0.5000 0.0000  4 Pd 3.02
Er 0.1638 0.3362 0.5000  6 Pd 2.96-3.04
Er 0.3362 0.8362 0.5000  6 Pd 2.96-3.04
Er 0.6638 0.1638 0.5000  6 Pd 2.96-3.04
Er 0.8362 0.6638 0.5000  6 Pd 2.96-3.04
Pd 0.1338 0.6338 0.0000  1 Pd 2.93, 6 Er 2.96-3.04, 2 Ho 3.02
Pd 0.3662 0.1338 0.0000  1 Pd 2.93, 6 Er 2.96-3.04, 2 Ho 3.02
Pd 0.6338 0.8662 0.0000  1 Pd 2.93, 6 Er 2.96-3.04, 2 Ho 3.02
Pd 0.8662 0.3662 0.0000  1 Pd 2.93, 6 Er 2.96-3.04, 2 Ho 3.02

---

*b*
Below is an optimized crystal structure of HoEr2Pd2, with properties calculated at the PBE-GGA level.

Calculated values
Magnetic moment ... 0.00 μB/f.u.
Symmetry ... Cmc2_1 (36)
Crystal system ... orthorhombic

Cell lengths 7.0630, 7.0630, 9.6173 Å; angles 90.00, 90.00, 148.55 degrees
Closest atoms and distances in Å follow each position.
Fractional coordinates of all 10 atoms:
Ho 0.1015 0.8985 0.5000  4 Pd 2.88-3.04
Ho 0.8985 0.1015 0.0000  4 Pd 2.88-3.04
Er 0.1827 0.8173 0.8663  5 Pd 2.82-2.95
Er 0.3938 0.6062 0.6584  4 Pd 2.81-2.89
Er 0.6062 0.3938 0.1584  4 Pd 2.81-2.89
Er 0.8173 0.1827 0.3663  5 Pd 2.82-2.95
Pd 0.2625 0.7375 0.1520  5 Er 2.86-2.95, 2 Ho 3.04
Pd 0.4691 0.5309 0.3768  4 Er 2.81-2.89, 2 Ho 2.88
Pd 0.5309 0.4691 0.8768  4 Er 2.81-2.89, 2 Ho 2.88
Pd 0.7375 0.2625 0.6520  5 Er 2.86-2.95, 2 Ho 3.04

---

Of them, the most stable is *a* and the least stable is *b*.

---

*a*
Below is an optimized crystal structure of Ho4ErPd2, with properties calculated at the PBE-GGA level.

Calculated values
Magnetic moment ... 0.00 μB/f.u.
Symmetry ... P2_1/m (11)
Crystal system ... monoclinic

Cell lengths 7.7905, 6.3127, 8.0733 Å; angles 90.00, 112.68, 90.00 degrees
Closest atoms and distances in Å follow each position.
Fractional coordinates of all 14 atoms:
Ho 0.0212 0.2500 0.3922  2 Pd 2.74-2.96
Ho 0.2444 0.7500 0.3468  2 Pd 2.79-2.85
Ho 0.4077 0.0042 0.7719  4 Pd 3.06-3.18, 3 Ho 3.10-3.40
Ho 0.4077 0.4958 0.7719  4 Pd 3.06-3.18, 3 Ho 3.10-3.40
Ho 0.5923 0.5042 0.2281  4 Pd 3.06-3.18, 3 Ho 3.10-3.40
Ho 0.5923 0.9958 0.2281  4 Pd 3.06-3.18, 3 Ho 3.10-3.40
Ho 0.7556 0.2500 0.6532  2 Pd 2.79-2.85
Ho 0.9788 0.7500 0.6078  2 Pd 2.74-2.96
Er 0.1562 0.2500 0.0272  4 Pd 2.97-3.25
Er 0.8438 0.7500 0.9728  4 Pd 2.97-3.25
Pd 0.2332 0.7500 0.9901  6 Ho 2.85-3.13, 1 Er 2.98
Pd 0.3825 0.2500 0.4192  2 Ho 2.74-2.79, 1 Er 2.97
Pd 0.6175 0.7500 0.5808  2 Ho 2.74-2.79, 1 Er 2.97
Pd 0.7668 0.2500 0.0099  6 Ho 2.85-3.13, 1 Er 2.98

---

*b*
Below is an optimized crystal structure of Ho4ErPd2, with properties calculated at the PBE-GGA level.

Calculated values
Magnetic moment ... 0.00 μB/f.u.
Symmetry ... R-3m (166)
Crystal system ... trigonal

Cell lengths 15.1174, 15.1174, 15.1174 Å; angles 14.94, 14.94, 14.94 degrees
Closest atoms and distances in Å follow each position.
Fractional coordinates of all 7 atoms:
Ho 0.1049 0.1049 0.1049  3 Pd 2.81
Ho 0.3019 0.3019 0.3019  3 Pd 2.80
Ho 0.6981 0.6981 0.6981  3 Pd 2.80
Ho 0.8951 0.8951 0.8951  3 Pd 2.81
Er 0.5000 0.5000 0.5000  6 Ho 3.58, 6 Er 3.93
Pd 0.4014 0.4014 0.4014  6 Ho 2.80-2.81
Pd 0.5986 0.5986 0.5986  6 Ho 2.80-2.81

---

Of them, the most stable is *a* and the least stable is *b*.

---

*a*
Below is an optimized crystal structure of Ho3ErPd, with properties calculated at the PBE-GGA level.

Calculated values
Magnetic moment ... 0.00 μB/f.u.
Symmetry ... Cm (8)
Crystal system ... monoclinic

Cell lengths 6.3368, 6.3368, 13.7293 Å; angles 114.36, 114.36, 33.77 degrees
Closest atoms and distances in Å follow each position.
Fractional coordinates of all 10 atoms:
Ho 0.0000 0.0000 0.0000  2 Pd 3.01
Ho 0.0263 0.0263 0.3633  10 Ho 3.50-3.87, 2 Er 3.53, 1 Pd 3.63
Ho 0.3512 0.3512 0.4706  2 Pd 2.87
Ho 0.4641 0.4641 0.7610  3 Pd 2.89-3.00
Ho 0.6723 0.6723 0.2355  9 Ho 3.50-3.87, 3 Er 3.56-3.57, 1 Pd 3.62
Ho 0.6984 0.6984 0.5998  2 Pd 3.00
Er 0.2347 0.2347 0.8395  3 Pd 2.88-3.00
Er 0.3475 0.3475 0.1282  2 Pd 2.85
Pd 0.0167 0.0167 0.6243  6 Ho 2.87-3.00, 1 Er 3.00
Pd 0.6832 0.6832 0.9760  4 Er 2.85-2.88, 3 Ho 3.00-3.01

---

*b*
Below is an optimized crystal structure of Ho3ErPd, with properties calculated at the PBE-GGA level.

Calculated values
Magnetic moment ... 0.00 μB/f.u.
Symmetry ... C2/m (12)
Crystal system ... monoclinic

Cell lengths 7.1117, 7.1117, 7.8468 Å; angles 120.12, 120.12, 72.71 degrees
Closest atoms and distances in Å follow each position.
Fractional coordinates of all 10 atoms:
Ho 0.0404 0.0404 0.3133  1 Pd 2.81
Ho 0.0930 0.4914 0.2602  2 Pd 2.76-3.04
Ho 0.4914 0.0930 0.2602  2 Pd 2.76-3.04
Ho 0.5086 0.9070 0.7398  2 Pd 2.76-3.04
Ho 0.9070 0.5086 0.7398  2 Pd 2.76-3.04
Ho 0.9596 0.9596 0.6867  1 Pd 2.81
Er 0.4272 0.4272 0.7270  2 Pd 2.79-2.98
Er 0.5728 0.5728 0.2730  2 Pd 2.79-2.98
Pd 0.2695 0.2695 0.9171  5 Ho 2.76-3.04, 2 Er 2.79-2.98
Pd 0.7305 0.7305 0.0829  5 Ho 2.76-3.04, 2 Er 2.79-2.98

---

Of them, the most stable is *a* and the least stable is *b*.

---

*a*
Below is an optimized crystal structure of HoErPdRh, with properties calculated at the PBE-GGA level.

Calculated values
Magnetic moment ... 0.00 μB/f.u.
Symmetry ... P4mm (99)
Crystal system ... tetragonal

Cell lengths 3.4367, 3.4367, 6.9112 Å; angles 90.00, 90.00, 90.00 degrees
Closest atoms and distances in Å follow each position.
Fractional coordinates of all 4 atoms:
Ho 0.0000 0.0000 0.0000  4 Rh 2.95, 4 Pd 3.03
Er 0.0000 0.0000 0.5176  4 Rh 2.94, 4 Pd 3.01
Pd 0.5000 0.5000 0.2609  4 Er 3.01, 4 Ho 3.03
Rh 0.5000 0.5000 0.7574  4 Er 2.94, 4 Ho 2.95

---

*b*
Below is an optimized crystal structure of HoErPdRh, with properties calculated at the PBE-GGA level.

Calculated values
Magnetic moment ... 0.00 μB/f.u.
Symmetry ... F-43m (216)
Crystal system ... cubic

Cell lengths 4.8691, 4.8691, 4.8691 Å; angles 60.00, 60.00, 60.00 degrees
Closest atoms and distances in Å follow each position.
Fractional coordinates of all 4 atoms:
Ho 0.0000 0.0000 0.0000  4 Rh 2.98, 4 Pd 2.98
Er 0.5000 0.5000 0.5000  4 Rh 2.98, 4 Pd 2.98
Pd 0.2500 0.2500 0.2500  4 Ho 2.98, 4 Er 2.98
Rh 0.7500 0.7500 0.7500  4 Ho 2.98, 4 Er 2.98

---

Of them, the most stable is *a* and the least stable is *b*.

---

*a*
Below is an optimized crystal structure of HoErSiPd, with properties calculated at the PBE-GGA level.

Calculated values
Magnetic moment ... 0.00 μB/f.u.
Symmetry ... Amm2 (38)
Crystal system ... orthorhombic

Cell lengths 4.2103, 5.6974, 5.6974 Å; angles 40.20, 90.00, 90.00 degrees
Closest atoms and distances in Å follow each position.
Fractional coordinates of all 4 atoms:
Ho 0.0000 0.0000 0.0000  4 Pd 2.96, 3 Si 2.99-3.07
Er 0.5000 0.7184 0.7184  4 Si 2.95, 3 Pd 3.02-3.05
Si 0.0000 0.2794 0.2794  2 Pd 2.67, 4 Er 2.95, 1 Ho 2.99
Pd 0.5000 0.4332 0.4332  2 Si 2.67, 4 Ho 2.96

---

*b*
Below is an optimized crystal structure of HoErSiPd, with properties calculated at the PBE-GGA level.

Calculated values
Magnetic moment ... 0.00 μB/f.u.
Symmetry ... F-43m (216)
Crystal system ... cubic

Cell lengths 4.9425, 4.9425, 4.9425 Å; angles 60.00, 60.00, 60.00 degrees
Closest atoms and distances in Å follow each position.
Fractional coordinates of all 4 atoms:
Ho 0.0000 0.0000 0.0000  4 Pd 3.03, 4 Si 3.03
Er 0.5000 0.5000 0.5000  4 Pd 3.03, 4 Si 3.03
Si 0.7500 0.7500 0.7500  4 Ho 3.03, 4 Er 3.03
Pd 0.2500 0.2500 0.2500  4 Ho 3.03, 4 Er 3.03

---

Of them, the most stable is *a* and the least stable is *b*.